Sr4Ni3O9: optimized geometry, PBE+U.

Electronic total energy ... -87.730 eV per formula unit
Total magnetization ... 1.9 μB per formula unit

a b c (Å): 7.835 9.534 9.534
angles (deg): 120.00 90.00 90.00
Fractional coordinates of all 48 atoms:
1 Sr 0.750 0.976 0.668
2 Sr 0.000 0.000 0.359
3 Sr 0.500 0.000 0.332
4 Sr 0.750 0.692 0.024
5 Sr 0.250 0.668 0.976
6 Sr 0.750 0.332 0.308
7 Sr 0.000 0.359 0.000
8 Sr 0.500 0.668 0.668
9 Sr 0.500 0.332 0.000
10 Sr 0.000 0.641 0.641
11 Sr 0.250 0.024 0.692
12 Sr 0.250 0.308 0.332
13 Ni 0.582 0.667 0.333
14 Ni 0.903 0.667 0.333
15 Ni 0.000 0.000 0.000
16 Ni 0.659 0.000 0.000
17 Ni 0.341 0.000 0.000
18 Ni 0.250 0.667 0.333
19 Ni 0.418 0.333 0.667
20 Ni 0.097 0.333 0.667
21 Ni 0.750 0.333 0.667
22 O 0.500 0.000 0.850
23 O 0.199 0.847 0.835
24 O 0.042 0.817 0.499
25 O 0.440 0.817 0.492
26 O 0.743 0.827 0.347
27 O 0.199 0.988 0.153
28 O 0.743 0.653 0.480
29 O 0.042 0.683 0.183
30 O 0.440 0.675 0.183
31 O 0.500 0.850 0.000
32 O 0.440 0.508 0.325
33 O 0.042 0.501 0.317
34 O 0.743 0.520 0.173
35 O 0.801 0.835 0.847
36 O 0.958 0.499 0.817
37 O 0.560 0.492 0.817
38 O 0.257 0.347 0.827
39 O 0.199 0.165 0.012
40 O 0.801 0.153 0.988
41 O 0.257 0.480 0.653
42 O 0.958 0.183 0.683
43 O 0.560 0.183 0.675
44 O 0.560 0.325 0.508
45 O 0.958 0.317 0.501
46 O 0.257 0.173 0.520
47 O 0.500 0.150 0.150
48 O 0.801 0.012 0.165